Ca3Zn3Te2O12: relaxed, GGA-PBEsol.

Output
E_form (uncorrected) = -1.94 eV per atom
SG = Ia-3d, No. 230
Calculated volume = 12.4 Å³ per atom
M_tot = 0.00 μB/f.u.
Electronic total energy = -0.44090 Ry/atom

Unit cell a=10.8875 b=10.8875 c=10.8875 alpha=109.47 beta=109.47 gamma=109.47
Last column: nearest neighbours and their distance in Å.
Fractional coordinates of all 80 atoms:
Ca1 0.1250 0.2500 0.3750  8 O 2.41-2.53
Ca2 0.1250 0.3750 0.7500  8 O 2.41-2.53
Ca3 0.2500 0.3750 0.1250  8 O 2.41-2.53
Ca4 0.2500 0.8750 0.6250  8 O 2.41-2.53
Ca5 0.3750 0.1250 0.2500  8 O 2.41-2.53
Ca6 0.3750 0.7500 0.1250  8 O 2.41-2.53
Ca7 0.6250 0.2500 0.8750  8 O 2.41-2.53
Ca8 0.6250 0.8750 0.7500  8 O 2.41-2.53
Ca9 0.7500 0.1250 0.3750  8 O 2.41-2.53
Ca10 0.7500 0.6250 0.8750  8 O 2.41-2.53
Ca11 0.8750 0.6250 0.2500  8 O 2.41-2.53
Ca12 0.8750 0.7500 0.6250  8 O 2.41-2.53
Zn1 0.1250 0.7500 0.8750  4 O 1.93
Zn2 0.1250 0.8750 0.2500  4 O 1.93
Zn3 0.2500 0.1250 0.8750  4 O 1.93
Zn4 0.2500 0.6250 0.3750  4 O 1.93
Zn5 0.3750 0.2500 0.6250  4 O 1.93
Zn6 0.3750 0.6250 0.7500  4 O 1.93
Zn7 0.6250 0.3750 0.2500  4 O 1.93
Zn8 0.6250 0.7500 0.3750  4 O 1.93
Zn9 0.7500 0.3750 0.6250  4 O 1.93
Zn10 0.7500 0.8750 0.1250  4 O 1.93
Zn11 0.8750 0.1250 0.7500  4 O 1.93
Zn12 0.8750 0.2500 0.1250  4 O 1.93
Te1 0.0000 0.0000 0.0000  6 O 1.94
Te2 0.0000 0.0000 0.5000  6 O 1.94
Te3 0.0000 0.5000 0.0000  6 O 1.94
Te4 0.0000 0.5000 0.5000  6 O 1.94
Te5 0.5000 0.0000 0.0000  6 O 1.94
Te6 0.5000 0.0000 0.5000  6 O 1.94
Te7 0.5000 0.5000 0.0000  6 O 1.94
Te8 0.5000 0.5000 0.5000  6 O 1.94
O1 0.0246 0.1947 0.1171  1 Zn 1.93, 1 Te 1.94
O2 0.0246 0.3300 0.9075  1 Zn 1.93, 1 Te 1.94
O3 0.0776 0.6947 0.6700  1 Zn 1.93, 1 Te 1.94
O4 0.0776 0.8829 0.4075  1 Zn 1.93, 1 Te 1.94
O5 0.0925 0.6171 0.4224  1 Zn 1.93, 1 Te 1.94
O6 0.0925 0.9754 0.6700  1 Zn 1.93, 1 Te 1.94
O7 0.1171 0.0246 0.1947  1 Zn 1.93, 1 Te 1.94
O8 0.1171 0.5925 0.9224  1 Zn 1.93, 1 Te 1.94
O9 0.1700 0.1947 0.5776  1 Zn 1.93, 1 Te 1.94
O10 0.1700 0.4754 0.5925  1 Zn 1.93, 1 Te 1.94
O11 0.1947 0.1171 0.0246  1 Zn 1.93, 1 Te 1.94
O12 0.1947 0.5776 0.1700  1 Zn 1.93, 1 Te 1.94
O13 0.3053 0.3300 0.9224  1 Zn 1.93, 1 Te 1.94
O14 0.3053 0.4754 0.3829  1 Zn 1.93, 1 Te 1.94
O15 0.3300 0.9075 0.0246  1 Zn 1.93, 1 Te 1.94
O16 0.3300 0.9224 0.3053  1 Zn 1.93, 1 Te 1.94
O17 0.3829 0.3053 0.4754  1 Zn 1.93, 1 Te 1.94
O18 0.3829 0.5776 0.9075  1 Zn 1.93, 1 Te 1.94
O19 0.4075 0.0776 0.8829  1 Zn 1.93, 1 Te 1.94
O20 0.4075 0.8300 0.5246  1 Zn 1.93, 1 Te 1.94
O21 0.4224 0.0925 0.6171  1 Zn 1.93, 1 Te 1.94
O22 0.4224 0.8300 0.8053  1 Zn 1.93, 1 Te 1.94
O23 0.4754 0.3829 0.3053  1 Zn 1.93, 1 Te 1.94
O24 0.4754 0.5925 0.1700  1 Zn 1.93, 1 Te 1.94
O25 0.5246 0.4075 0.8300  1 Zn 1.93, 1 Te 1.94
O26 0.5246 0.6171 0.6947  1 Zn 1.93, 1 Te 1.94
O27 0.5776 0.1700 0.1947  1 Zn 1.93, 1 Te 1.94
O28 0.5776 0.9075 0.3829  1 Zn 1.93, 1 Te 1.94
O29 0.5925 0.1700 0.4754  1 Zn 1.93, 1 Te 1.94
O30 0.5925 0.9224 0.1171  1 Zn 1.93, 1 Te 1.94
O31 0.6171 0.4224 0.0925  1 Zn 1.93, 1 Te 1.94
O32 0.6171 0.6947 0.5246  1 Zn 1.93, 1 Te 1.94
O33 0.6700 0.0776 0.6947  1 Zn 1.93, 1 Te 1.94
O34 0.6700 0.0925 0.9754  1 Zn 1.93, 1 Te 1.94
O35 0.6947 0.5246 0.6171  1 Zn 1.93, 1 Te 1.94
O36 0.6947 0.6700 0.0776  1 Zn 1.93, 1 Te 1.94
O37 0.8053 0.4224 0.8300  1 Zn 1.93, 1 Te 1.94
O38 0.8053 0.8829 0.9754  1 Zn 1.93, 1 Te 1.94
O39 0.8300 0.5246 0.4075  1 Zn 1.93, 1 Te 1.94
O40 0.8300 0.8053 0.4224  1 Zn 1.93, 1 Te 1.94
O41 0.8829 0.4075 0.0776  1 Zn 1.93, 1 Te 1.94
O42 0.8829 0.9754 0.8053  1 Zn 1.93, 1 Te 1.94
O43 0.9075 0.0246 0.3300  1 Zn 1.93, 1 Te 1.94
O44 0.9075 0.3829 0.5776  1 Zn 1.93, 1 Te 1.94
O45 0.9224 0.1171 0.5925  1 Zn 1.93, 1 Te 1.94
O46 0.9224 0.3053 0.3300  1 Zn 1.93, 1 Te 1.94
O47 0.9754 0.6700 0.0925  1 Zn 1.93, 1 Te 1.94
O48 0.9754 0.8053 0.8829  1 Zn 1.93, 1 Te 1.94

Sr2MnMo: relaxed, GGA-PBEsol.

Output
SG = F-43m, No. 216
Calculated volume = 24.3 Å³ per atom
M_tot = 1.49 μB/f.u.
Energy of formation = 4.7 eV per formula unit
Electronic total energy = -0.37722 Ry/atom
Energy above the most stable polymorph in this dataset = 646 meV/atom

Unit cell a=5.1591 b=5.1591 c=5.1591 alpha=60.00 beta=60.00 gamma=60.00
Last column: nearest neighbours and their distance in Å.
Fractional coordinates of all 4 atoms:
Sr1 0.0000 0.0000 0.0000  4 Mn 3.16, 4 Sr 3.16
Sr2 0.2500 0.2500 0.2500  4 Mo 3.16, 4 Sr 3.16
Mn1 0.7500 0.7500 0.7500  4 Mo 3.16, 4 Sr 3.16
Mo1 0.5000 0.5000 0.5000  4 Mn 3.16, 4 Sr 3.16